Record 1
Density functional theory data (PBE-GGA) for a geometry-optimized LaPr2SmSb4 structure. Values from VASP.

Results
* energy relative to the elements, uncorrected: -1.21 eV/atom
* SG: P2/m
* Fermi-level density of states: 0.9 states/eV/cell

The structure in Quantum ESPRESSO input format:
```
&SYSTEM
  ibrav = 0, nat = 8, ntyp = 4
/
ATOMIC_SPECIES
Sm 150.36 Sm.upf
Sb 121.76 Sb.upf
La 138.91 La.upf
Pr 140.91 Pr.upf
CELL_PARAMETERS angstrom
-0.4421 0.3151 -4.5258
-2.3661 -7.5185 -0.2925
-7.8446 -0.3169 0.7441
ATOMIC_POSITIONS crystal
Sm 0.0000 0.5000 0.5000
Sb 0.0000 0.7498 0.7465
Sb 0.5000 0.2527 0.7457
Sb 0.5000 0.7473 0.2543
Sb 0.0000 0.2502 0.2535
La 0.5000 0.5000 0.0000
Pr 0.5000 0.0000 0.5000
Pr 0.0000 0.0000 0.0000
```



Record 2
Density functional theory data (PBE-GGA) for a geometry-optimized LaTbPr2Sb4 structure. Values from VASP.

Results
* energy relative to the elements, uncorrected: -1.19 eV/atom
* SG: P2/m
* Fermi-level density of states: 0.9 states/eV/cell

The structure in Quantum ESPRESSO input format:
```
&SYSTEM
  ibrav = 0, nat = 8, ntyp = 4
/
ATOMIC_SPECIES
Tb 158.93 Tb.upf
Pr 140.91 Pr.upf
Sb 121.76 Sb.upf
La 138.91 La.upf
CELL_PARAMETERS angstrom
4.5424 0.0000 0.0000
0.0000 7.8591 -0.1567
0.0000 2.7641 7.3526
ATOMIC_POSITIONS crystal
Tb 0.0000 0.5000 0.5000
Pr 0.5000 0.0000 0.5000
Pr 0.0000 0.0000 0.0000
Sb 0.5000 0.7443 0.2573
Sb 0.0000 0.2518 0.2549
Sb 0.0000 0.7482 0.7450
Sb 0.5000 0.2557 0.7427
La 0.5000 0.5000 0.0000
```



Record 3
Density functional theory data (PBE-GGA) for a geometry-optimized LaPrSbTe structure. Values from VASP.

Results
* energy relative to the elements, uncorrected: -1.19 eV/atom
* SG: F-43m
* Fermi-level density of states: 3.1 states/eV/cell

The structure in Quantum ESPRESSO input format:
```
&SYSTEM
  ibrav = 0, nat = 4, ntyp = 4
/
ATOMIC_SPECIES
Te 127.60 Te.upf
La 138.91 La.upf
Pr 140.91 Pr.upf
Sb 121.76 Sb.upf
CELL_PARAMETERS angstrom
5.5659 0.0000 0.0000
2.7829 4.8202 0.0000
2.7829 1.6067 4.5516
ATOMIC_POSITIONS crystal
Te 0.1941 0.1941 0.4178
La 0.9441 0.9441 0.1677
Pr 0.4441 0.4441 0.6676
Sb 0.6941 0.6941 0.9177
```



Record 4
Density functional theory data (PBE-GGA) for a geometry-optimized La2PrTh3Sb6 structure. Values from VASP.

Results
* energy relative to the elements, uncorrected: -1.10 eV/atom
* SG: C2/m
* Fermi-level density of states: 6.4 states/eV/cell

The structure in Quantum ESPRESSO input format:
```
&SYSTEM
  ibrav = 0, nat = 12, ntyp = 4
/
ATOMIC_SPECIES
Sb 121.76 Sb.upf
Th 232.04 Th.upf
La 138.91 La.upf
Pr 140.91 Pr.upf
CELL_PARAMETERS angstrom
4.5483 0.0000 0.0000
0.0000 9.0996 0.3051
-2.2741 -2.6378 9.5760
ATOMIC_POSITIONS crystal
Sb 0.3327 0.9204 0.6654
Sb 0.6673 0.0796 0.3346
Sb 0.6653 0.5869 0.3307
Sb 0.9983 0.2520 0.9966
Sb 0.0017 0.7480 0.0034
Sb 0.3347 0.4131 0.6693
Th 0.5000 0.5000 0.0000
Th 0.1670 0.8341 0.3339
Th 0.8330 0.1659 0.6661
La 0.8339 0.6677 0.6677
La 0.1661 0.3323 0.3323
Pr 0.5000 0.0000 0.0000
```



Record 5
Density functional theory data (PBE-GGA) for a geometry-optimized La2PrThSb4 structure. Values from VASP.

Results
* energy relative to the elements, uncorrected: -1.19 eV/atom
* SG: P2/m
* Fermi-level density of states: 1.9 states/eV/cell

The structure in Quantum ESPRESSO input format:
```
&SYSTEM
  ibrav = 0, nat = 8, ntyp = 4
/
ATOMIC_SPECIES
Th 232.04 Th.upf
Sb 121.76 Sb.upf
Pr 140.91 Pr.upf
La 138.91 La.upf
CELL_PARAMETERS angstrom
-3.0756 2.3645 -2.4258
-5.8528 -3.4238 4.0831
2.2284 6.6685 3.6748
ATOMIC_POSITIONS crystal
Th 0.5000 0.5000 0.0000
Sb 0.0000 0.2540 0.7557
Sb 0.5000 0.2512 0.2457
Sb 0.0000 0.7460 0.2443
Sb 0.5000 0.7488 0.7543
Pr 0.0000 0.0000 0.0000
La 0.5000 0.0000 0.5000
La 0.0000 0.5000 0.5000
```



Record 6
Density functional theory data (PBE-GGA) for a geometry-optimized LaPrTh2Sb4 structure. Values from VASP.

Results
* energy relative to the elements, uncorrected: -1.09 eV/atom
* SG: P2/m
* Fermi-level density of states: 4.6 states/eV/cell

The structure in Quantum ESPRESSO input format:
```
&SYSTEM
  ibrav = 0, nat = 8, ntyp = 4
/
ATOMIC_SPECIES
Sb 121.76 Sb.upf
Pr 140.91 Pr.upf
Th 232.04 Th.upf
La 138.91 La.upf
CELL_PARAMETERS angstrom
4.5462 0.0000 0.0000
0.0000 7.8805 -0.1550
0.0000 2.7738 7.3646
ATOMIC_POSITIONS crystal
Sb 0.5000 0.7554 0.2473
Sb 0.0000 0.2453 0.2506
Sb 0.5000 0.2446 0.7527
Sb 0.0000 0.7547 0.7494
Pr 0.5000 0.5000 0.0000
Th 0.5000 0.0000 0.5000
Th 0.0000 0.0000 0.0000
La 0.0000 0.5000 0.5000
```



Record 7
Density functional theory data (PBE-GGA) for a geometry-optimized La2PrTmSb4 structure. Values from VASP.

Results
* energy relative to the elements, uncorrected: -1.19 eV/atom
* SG: P2/m
* Fermi-level density of states: 0.9 states/eV/cell

The structure in Quantum ESPRESSO input format:
```
&SYSTEM
  ibrav = 0, nat = 8, ntyp = 4
/
ATOMIC_SPECIES
Sb 121.76 Sb.upf
Pr 140.91 Pr.upf
Tm 168.93 Tm.upf
La 138.91 La.upf
CELL_PARAMETERS angstrom
-2.5901 3.1942 1.9381
-4.3746 -5.5888 3.3650
3.0146 -1.8214 7.0307
ATOMIC_POSITIONS crystal
Sb 0.5000 0.2620 0.7397
Sb 0.0000 0.2573 0.2540
Sb 0.5000 0.7380 0.2603
Sb 0.0000 0.7427 0.7460
Pr 0.5000 0.5000 0.0000
Tm 0.0000 0.5000 0.5000
La 0.5000 0.0000 0.5000
La 0.0000 0.0000 0.0000
```



Record 8
Density functional theory data (PBE-GGA) for a geometry-optimized LaPrZnSb structure. Values from VASP.

Results
* energy relative to the elements, uncorrected: -0.61 eV/atom
* SG: F-43m
* Fermi-level density of states: 3.6 states/eV/cell

The structure in Quantum ESPRESSO input format:
```
&SYSTEM
  ibrav = 0, nat = 4, ntyp = 4
/
ATOMIC_SPECIES
La 138.91 La.upf
Pr 140.91 Pr.upf
Sb 121.76 Sb.upf
Zn 65.41 Zn.upf
CELL_PARAMETERS angstrom
-0.1330 -4.9993 -2.1069
4.3340 -3.2385 0.4219
-0.1515 -4.3226 3.2775
ATOMIC_POSITIONS crystal
La 0.2500 0.2500 0.2500
Pr 0.7500 0.7500 0.7500
Sb 0.5000 0.5000 0.5000
Zn 0.0000 0.0000 0.0000
```